[1]
# SiPd2Br meta-GGA SCAN single point on PBEsol structure
data_SiPd2Br
_symmetry_space_group_name_H-M 'I -4 2 d'
_symmetry_Int_Tables_number 122
_symmetry_space_group_name_Hall 'I -4 2bw'
_cell_length_a 6.429
_cell_length_b 6.429
_cell_length_c 7.578
_cell_angle_alpha 90.00
_cell_angle_beta 90.00
_cell_angle_gamma 90.00
loop_
_atom_site_label
_atom_site_type_symbol
_atom_site_fract_x
_atom_site_fract_y
_atom_site_fract_z
Si1 Si 0.000 0.000 0.000
Pd1 Pd 0.205 0.250 0.125
Br1 Br 0.000 0.000 0.500
# ΔE_f (raw) = -0.095 eV per atom
# electronic total energy = -95.403 eV per formula unit

[2]
# CaFeP2 meta-GGA SCAN single point on PBEsol structure
data_CaFeP2
_symmetry_space_group_name_H-M 'I m m m'
_symmetry_Int_Tables_number 71
_symmetry_space_group_name_Hall '-I 2 2'
_cell_length_a 3.765
_cell_length_b 5.578
_cell_length_c 6.448
_cell_angle_alpha 90.00
_cell_angle_beta 90.00
_cell_angle_gamma 90.00
loop_
_atom_site_label
_atom_site_type_symbol
_atom_site_fract_x
_atom_site_fract_y
_atom_site_fract_z
Ca1 Ca 0.000 0.000 0.000
Fe1 Fe 0.000 0.000 0.500
P1 P 0.000 0.500 0.175
# energy above the lowest structure with this stoichiometry = 0 meV per atom
# energy of formation = -0.3938 eV per atom
# electronic total energy = -50.165 eV per formula unit

[3]
# KSb2As meta-GGA SCAN single point on PBEsol structure
data_KSb2As
_symmetry_space_group_name_H-M 'I m m m'
_symmetry_Int_Tables_number 71
_symmetry_space_group_name_Hall '-I 2 2'
_cell_length_a 3.623
_cell_length_b 5.631
_cell_length_c 10.559
_cell_angle_alpha 90.00
_cell_angle_beta 90.00
_cell_angle_gamma 90.00
loop_
_atom_site_label
_atom_site_type_symbol
_atom_site_fract_x
_atom_site_fract_y
_atom_site_fract_z
K1 K 0.000 0.000 0.000
Sb1 Sb 0.000 0.500 0.205
As1 As 0.000 0.000 0.500
# ΔE_f (raw) = -0.089 eV per atom
# electronic total energy = -103.397 eV per formula unit

[4]
# RuS2N meta-GGA SCAN single point on PBEsol structure
data_RuS2N
_symmetry_space_group_name_H-M 'I -4 2 d'
_symmetry_Int_Tables_number 122
_symmetry_space_group_name_Hall 'I -4 2bw'
_cell_length_a 4.983
_cell_length_b 4.983
_cell_length_c 9.555
_cell_angle_alpha 90.00
_cell_angle_beta 90.00
_cell_angle_gamma 90.00
loop_
_atom_site_label
_atom_site_type_symbol
_atom_site_fract_x
_atom_site_fract_y
_atom_site_fract_z
Ru1 Ru 0.000 0.000 0.000
S1 S 0.223 0.250 0.625
N1 N 0.000 0.000 0.500
# ΔE_f (raw) = 0.869 eV per atom
# electronic total energy = -59.897 eV per formula unit